No. 1
This record from the Alexandria database describes an optimized crystal structure of Li3FeCu2O6. The functional is PBE with a Hubbard U.

Summary:
D(E_F) = 1.22 states/eV/f.u.
total magnetization = 9.02 μB/f.u.
E_tot = -5.366 eV/atom

Cell: 12.903 2.955 5.912 Å, 90.00 103.67 90.00°
Space group C2/m (No. 12)
Inequivalent atoms, fractional coordinates:
Li  0.000  0.000  0.000 x2
Li  0.171  0.500  0.333 x4
Fe  0.000  0.000  0.500 x2
Cu  0.167  0.500  0.834 x4
O  0.003  0.500  0.740 x4
O  0.163  0.000  0.595 x4
O  0.172  0.000  0.070 x4



No. 2
This record from the Alexandria database describes an optimized crystal structure of LiFeCuO2. The functional is PBE with a Hubbard U.

Summary:
D(E_F) = 1.43 states/eV/f.u.
total magnetization = 4.17 μB/f.u.
E_tot = -4.091 eV/atom

Cell: 3.727 3.727 3.825 Å, 90.00 90.00 90.00°
Space group P4/mmm (No. 123)
Inequivalent atoms, fractional coordinates:
Li  0.000  0.000  0.000 x1
Fe  0.000  0.000  0.500 x1
Cu  0.500  0.500  0.500 x1
O  0.000  0.500  0.000 x2